# LiSmEr

A relaxed structure of LiSmEr (GGA-PBE, Alexandria).

Values from the calculation:
The value obtained for the raw total energy is -3.64 eV per atom. Its formation energy is 89 meV/atom. Its space-group type is I4mm. For the total magnetic moment, the calculation gives 0.000 μB/cell.

Cell and atoms, written as POSCAR:
```
LiSmEr
1.0
3.6764 0.0000 0.0000
0.0000 3.6764 0.0000
-1.8382 -1.8382 6.1920
Er Li Sm
1 1 1
direct
0.0150 0.0150 0.0301
0.6633 0.6633 0.3265
0.3217 0.3217 0.6434
```